# 1
Crystalline BaSr2MgPd at its relaxed geometry. Source: Alexandria via LeMat-Bulk, functional PBE.

Summary:
DOS at the Fermi energy   3.43 states/eV/f.u.
Formation energy from the elements   -4.94 kcal/mol of atoms
Energy above the lowest structure with this stoichiometry   28.5 meV per atom

abc: 5.955 5.955 6.206
angles: 90.00 90.00 90.00
Atoms (fractional coordinates):
1 Ba 0.000 0.000 0.000
2 Sr 0.000 0.500 0.500
3 Sr 0.500 0.000 0.500
4 Mg 0.500 0.500 0.000
5 Pd 0.000 0.000 0.500

# 2
Crystalline AgMo2Ru at its relaxed geometry. Source: Alexandria via LeMat-Bulk, functional PBE.

Summary:
DOS at the Fermi energy   3.66 states/eV/f.u.
Formation energy from the elements   9.76 kcal/mol of atoms
Energy above the lowest structure with this stoichiometry   143.5 meV per atom

abc: 4.975 4.975 4.672
angles: 102.27 102.27 34.05
Atoms (fractional coordinates):
1 Ag 0.000 0.000 0.000
2 Mo 0.242 0.242 0.728
3 Mo 0.758 0.758 0.272
4 Ru 0.500 0.500 0.500

# 3
Crystalline EuThMgTl at its relaxed geometry. Source: Alexandria via LeMat-Bulk, functional PBE.

Summary:
DOS at the Fermi energy   4.34 states/eV/f.u.
Formation energy from the elements   -1.63 kcal/mol of atoms

abc: 5.532 5.532 5.532
angles: 60.00 60.00 60.00
Atoms (fractional coordinates):
1 Eu 0.000 0.000 0.000
2 Th 0.500 0.500 0.500
3 Mg 0.750 0.750 0.750
4 Tl 0.250 0.250 0.250

# 4
Crystalline Re2IrBr at its relaxed geometry. Source: Alexandria via LeMat-Bulk, functional PBE.

Summary:
DOS at the Fermi energy   4.48 states/eV/f.u.
Uncorrected formation energy   0.5269 eV/atom
Energy above the lowest structure with this stoichiometry   0.0 meV per atom

abc: 2.864 2.884 8.205
angles: 90.00 90.00 90.00
Atoms (fractional coordinates):
1 Re 0.000 0.000 0.000
2 Re 0.500 0.500 0.218
3 Ir 0.000 0.000 0.435
4 Br 0.500 0.000 0.740